# Cu2RuPt | the Alexandria database | PBE | relaxed
data_Cu2RuPt
_chemical_formula_sum 'Cu8 Ru4 Pt4'
_space_group_name_H-M_alt 'F -4 3 m'
_space_group_IT_number 216
_space_group_name_Hall 'F -4 2 3'
_cell_length_a 6.069
_cell_length_b 6.069
_cell_length_c 6.069
_cell_angle_alpha 90.00
_cell_angle_beta 90.00
_cell_angle_gamma 90.00
loop_
_atom_site_label
_atom_site_type_symbol
_atom_site_fract_x
_atom_site_fract_y
_atom_site_fract_z
_atom_site_occupancy
Cu1 Cu 0.000 0.000 0.000 1
Cu2 Cu 0.250 0.250 0.250 1
Ru1 Ru 0.250 0.250 0.750 1
Pt1 Pt 0.000 0.000 0.500 1
# - Energy relative to the elements: 83 kJ/mol of formula units